# 1
Hg2GeBiN | GGA-PBE | relaxed

Its total energy is -10.34 eV per cell. The uncorrected formation energy comes out at 7.09 eV/f.u.

It has space group P4/mmm (No. 123), with a = 5.089 Å, b = 5.089 Å, c = 5.856 Å, α = 90.00°, β = 90.00° and γ = 90.00°. The distinct sites, in fractional coordinates, are Hg at (0.000, 0.500, 0.000), Ge at (0.000, 0.000, 0.000), Bi at (0.000, 0.000, 0.500) and N at (0.500, 0.500, 0.500).

# 2
HgPbSe2 | GGA-PBE | relaxed

Its total energy is -31.51 eV per cell. The uncorrected formation energy comes out at 0.48 eV/f.u.

It has space group R-3m (No. 166, hexagonal axes), with a = 3.8907 Å, b = 3.8907 Å, c = 27.4838 Å, α = 90.00°, β = 90.00° and γ = 120.00°. The distinct sites, in fractional coordinates, are Hg at (0.0000, 0.0000, 0.0000), Pb at (0.0000, 0.0000, 0.5000) and Se at (0.0000, 0.0000, 0.3926).

# 3
Pm2Er3PuAs6 | GGA-PBE | relaxed

As for the energy of formation from the pure elements: -1.426 eV per atom. Its total energy is -165.06 eV per cell.

It has space group C2/m (No. 12), with a = 18.037 Å, b = 4.149 Å, c = 8.283 Å, α = 90.00°, β = 103.17° and γ = 90.00°. The distinct sites, in fractional coordinates, are Pm at (0.167, 0.000, 0.334), Er at (0.000, 0.500, 0.500), Er at (0.168, 0.000, 0.833), Pu at (0.000, 0.500, 0.000), As at (0.002, 0.000, 0.751), As at (0.164, 0.500, 0.589) and As at (0.167, 0.500, 0.077).